Entry from the Alexandria database: an optimized crystal structure of Tb3PmSm7 (PBE).

```
Tb3PmSm7
1.0
-2.9499 5.6542 5.6611
2.9499 -5.6542 5.6611
2.9499 5.6542 -5.6611
Tb Pm Sm
3 1 7
Direct
0.0000 0.0000 0.0000 Tb
0.2038 0.5000 0.7038 Tb
0.7962 0.5000 0.2962 Tb
0.5000 0.0000 0.5000 Pm
0.0048 0.8010 0.2038 Sm
0.2088 0.7088 0.5000 Sm
0.4028 0.1990 0.2038 Sm
0.5000 0.5000 0.0000 Sm
0.5972 0.8010 0.7962 Sm
0.7912 0.2912 0.5000 Sm
0.9952 0.1990 0.7962 Sm
```

Summary:
- Calculated formation energy: 232 meV per atom
- Volume: 378 Å³/cell
- Uncorrected energy: -4.47 eV per atom
- Energy above the lowest structure with this stoichiometry: 1.19 eV per formula unit
- SG: Immm

---

Entry from the Alexandria database: an optimized crystal structure of CsAl4Te7 (PBE).

```
CsAl4Te7
1.0
17.0878 0.0000 0.0000
0.0000 7.2589 0.0000
0.0000 0.0000 6.9507
Cs Al Te
2 8 14
Direct
0.0000 0.1725 0.0000 Cs
0.5000 0.8275 0.5000 Cs
0.1219 0.6692 0.6303 Al
0.2481 0.1814 0.6092 Al
0.2519 0.8186 0.1092 Al
0.3781 0.3308 0.1303 Al
0.6219 0.3308 0.1303 Al
0.7481 0.8186 0.1092 Al
0.7519 0.1814 0.6092 Al
0.8781 0.6692 0.6303 Al
0.0000 0.8506 0.4915 Te
0.1162 0.3296 0.4969 Te
0.1178 0.6760 0.0086 Te
0.2454 0.1735 0.0000 Te
0.2546 0.8265 0.5000 Te
0.3822 0.3240 0.5086 Te
0.3838 0.6704 0.9969 Te
0.5000 0.1494 0.9915 Te
0.6162 0.6704 0.9969 Te
0.6178 0.3240 0.5086 Te
0.7454 0.8265 0.5000 Te
0.7546 0.1735 0.0000 Te
0.8822 0.6760 0.0086 Te
0.8838 0.3296 0.4969 Te
```

Summary:
- Volume: 862 Å³/cell
- Uncorrected energy: -3.67 eV per atom
- SG: Pmn2_1

---

Entry from the Alexandria database: an optimized crystal structure of Tl4Ir3PtS8 (PBE).

```
Tl4Ir3PtS8
1.0
6.3080 -3.6392 0.0000
6.3080 3.6392 0.0000
-4.2352 0.0000 7.5736
Tl Ir Pt S
4 3 1 8
Direct
0.0000 0.0000 0.0000 Tl
0.0000 0.5000 0.0000 Tl
0.5000 0.0000 0.0000 Tl
0.5000 0.5000 0.0000 Tl
0.0000 0.0000 0.5000 Ir
0.0000 0.5000 0.5000 Ir
0.5000 0.0000 0.5000 Ir
0.5000 0.5000 0.5000 Pt
0.2146 0.7203 0.6542 S
0.2190 0.2190 0.6560 S
0.2798 0.2798 0.3459 S
0.2797 0.7854 0.3458 S
0.7203 0.2146 0.6542 S
0.7202 0.7202 0.6541 S
0.7810 0.7810 0.3440 S
0.7854 0.2797 0.3458 S
```

Summary:
- Volume: 348 Å³/cell
- Uncorrected energy: -5.01 eV per atom
- SG: C2/m

---

Entry from the Alexandria database: an optimized crystal structure of V2SiH (PBE).

```
V2SiH
1.0
2.5522 0.0000 0.0000
0.0000 2.5522 0.0000
0.0000 0.0000 6.3621
V Si H
2 1 1
Direct
0.0000 0.0000 0.1971 V
0.0000 0.0000 0.8029 V
0.5000 0.5000 0.5000 Si
0.5000 0.5000 0.0000 H
```

Summary:
- Volume: 41 Å³/cell
- Uncorrected energy: -6.73 eV per atom
- Energy above the lowest structure with this stoichiometry: 1.09 eV per formula unit
- SG: P4/mmm

---

Entry from the Alexandria database: an optimized crystal structure of HfScAu (PBE).

```
HfScAu
1.0
4.5301 -2.6506 0.0000
4.5301 2.6506 0.0000
-3.1143 0.0000 5.0512
Hf Sc Au
2 2 2
Direct
0.1578 0.1578 0.4911 Hf
0.8422 0.8422 0.5089 Hf
0.4784 0.5216 0.5000 Sc
0.6514 0.3486 0.0000 Sc
0.3330 0.0114 0.0105 Au
0.9886 0.6670 0.9895 Au
```

Summary:
- Calculated formation energy: -291 meV per atom
- Volume: 121 Å³/cell
- Uncorrected energy: -6.81 eV per atom
- Energy above the lowest structure with this stoichiometry: 0.56 eV per formula unit
- SG: C2

---

Entry from the Alexandria database: an optimized crystal structure of MnCoCu2H (PBE).

```
MnCoCu2H
1.0
3.7443 0.0000 0.0000
0.0000 3.7443 0.0000
0.0000 0.0000 3.6235
Mn Co Cu H
1 1 2 1
Direct
0.0000 0.0000 0.0000 Mn
0.5000 0.5000 0.0000 Co
0.0000 0.5000 0.5000 Cu
0.5000 0.0000 0.5000 Cu
0.5000 0.5000 0.5000 H
```

Summary:
- Volume: 51 Å³/cell
- Uncorrected energy: -5.43 eV per atom
- SG: P4/mmm

---

Entry from the Alexandria database: an optimized crystal structure of CdAg2HgF8 (PBE).

```
CdAg2HgF8
1.0
0.0000 4.2795 5.5717
3.6679 0.0000 5.5717
3.6679 4.2795 0.0000
Cd Ag Hg F
1 2 1 8
Direct
0.0000 0.0000 0.0000 Cd
0.5000 0.5000 0.5000 Ag
0.7500 0.7500 0.7500 Ag
0.2500 0.2500 0.2500 Hg
0.0687 0.6804 0.3754 F
0.1773 0.5813 0.8741 F
0.3673 0.8741 0.5813 F
0.3754 0.8755 0.0687 F
0.5813 0.1773 0.3673 F
0.6804 0.0687 0.8755 F
0.8741 0.3673 0.1773 F
0.8755 0.3754 0.6804 F
```

Summary:
- Volume: 175 Å³/cell
- Uncorrected energy: -3.27 eV per atom
- SG: F222

---

Entry from the Alexandria database: an optimized crystal structure of HoZrAg (PBE).

```
HoZrAg
1.0
4.9523 0.0000 0.0000
-2.4761 4.2888 0.0000
0.0000 0.0000 3.3829
Ho Zr Ag
1 1 1
Direct
0.0000 0.0000 0.0000 Ho
0.3333 0.6667 0.5376 Zr
0.6667 0.3333 0.3936 Ag
```

Summary:
- Calculated formation energy: 134 meV per atom
- Volume: 72 Å³/cell
- Uncorrected energy: -5.19 eV per atom
- Energy above the lowest structure with this stoichiometry: 0.66 eV per formula unit
- SG: P3m1

---

Entry from the Alexandria database: an optimized crystal structure of PWSe2 (PBE).

```
PWSe2
1.0
3.0206 0.0000 0.0000
0.0000 3.0206 0.0000
0.0000 0.0000 8.5456
P W Se
1 1 2
Direct
0.0000 0.0000 0.0000 P
0.0000 0.0000 0.5000 W
0.5000 0.5000 0.3140 Se
0.5000 0.5000 0.6860 Se
```

Summary:
- Volume: 78 Å³/cell
- Uncorrected energy: -5.93 eV per atom
- SG: P4/mmm

---

Entry from the Alexandria database: an optimized crystal structure of Zn3InS4 (PBE).

```
Zn3InS4
1.0
-2.8331 2.8331 5.6276
2.8331 -2.8331 5.6276
2.8331 2.8331 -5.6276
Zn In S
3 1 4
Direct
0.0000 0.0000 0.0000 Zn
0.2500 0.7500 0.5000 Zn
0.7500 0.2500 0.5000 Zn
0.5000 0.5000 0.0000 In
0.0907 0.0907 0.4516 S
0.3609 0.9093 0.0000 S
0.6391 0.6391 0.5484 S
0.9093 0.3609 0.0000 S
```

Summary:
- Volume: 181 Å³/cell
- Uncorrected energy: -3.49 eV per atom
- SG: I-42m

---

Entry from the Alexandria database: an optimized crystal structure of KSmWN3 (PBE).

```
KSmWN3
1.0
6.8662 -1.9885 0.0000
6.8662 1.9885 0.0000
-2.0400 0.0000 7.5516
K Sm W N
2 2 2 6
Direct
0.1427 0.1427 0.0656 K
0.8573 0.8573 0.9344 K
0.1631 0.1631 0.5878 Sm
0.8369 0.8369 0.4122 Sm
0.4941 0.4941 0.6744 W
0.5059 0.5059 0.3256 W
0.0111 0.0111 0.3165 N
0.3422 0.3422 0.6325 N
0.3632 0.3632 0.2214 N
0.6368 0.6368 0.7786 N
0.6578 0.6578 0.3675 N
0.9889 0.9889 0.6835 N
```

Summary:
- Volume: 206 Å³/cell
- Uncorrected energy: -7.88 eV per atom
- SG: C2/m

---

Entry from the Alexandria database: an optimized crystal structure of NaSb2Br8 (PBE).

```
NaSb2Br8
1.0
5.4892 -6.0132 0.0000
5.4892 6.0132 0.0000
-1.5876 0.0000 7.0887
Na Sb Br
1 2 8
Direct
0.0000 0.0000 0.0000 Na
0.3013 0.3013 0.4373 Sb
0.6987 0.6987 0.5627 Sb
0.0172 0.3384 0.2420 Br
0.1682 0.1682 0.6989 Br
0.3384 0.0172 0.2420 Br
0.4796 0.4796 0.2060 Br
0.5204 0.5204 0.7940 Br
0.6616 0.9828 0.7580 Br
0.8318 0.8318 0.3011 Br
0.9828 0.6616 0.7580 Br
```

Summary:
- Volume: 468 Å³/cell
- Uncorrected energy: -2.73 eV per atom
- Energy above the lowest structure with this stoichiometry: 0.00 eV per formula unit
- SG: C2/m

---

Entry from the Alexandria database: an optimized crystal structure of Nd4PdSe2S (PBE).

```
Nd4PdSe2S
1.0
7.3079 0.0000 0.0000
0.0000 4.1333 0.0000
-2.4018 0.0000 6.9263
Nd Pd Se S
4 1 2 1
Direct
0.2399 0.0000 0.2415 Nd
0.2520 0.5000 0.7600 Nd
0.7480 0.5000 0.2400 Nd
0.7601 0.0000 0.7585 Nd
0.5000 0.0000 0.0000 Pd
0.0000 0.0000 0.5000 Se
0.5000 0.5000 0.5000 Se
0.0000 0.5000 0.0000 S
```

Summary:
- Volume: 209 Å³/cell
- Uncorrected energy: -6.01 eV per atom
- SG: P2/m

---

Entry from the Alexandria database: an optimized crystal structure of Y2AlHg (PBE).

```
Y2AlHg
1.0
3.5993 0.0000 0.0000
0.0000 4.7319 0.0000
0.0000 0.0000 6.2306
Y Al Hg
2 1 1
Direct
0.0000 0.0000 0.0000 Y
0.5000 0.5000 0.3475 Y
0.0000 0.0000 0.4941 Al
0.5000 0.5000 0.8314 Hg
```

Summary:
- Calculated formation energy: -219 meV per atom
- Volume: 106 Å³/cell
- Uncorrected energy: -4.46 eV per atom
- Energy above the lowest structure with this stoichiometry: 0.97 eV per formula unit
- SG: Pmm2

---

Entry from the Alexandria database: an optimized crystal structure of SbTe2PRu (PBE).

```
SbTe2PRu
1.0
5.1125 0.0000 0.0000
0.0000 5.1125 0.0000
0.0000 0.0000 4.9242
Sb Te P Ru
1 2 1 1
Direct
0.0000 0.0000 0.0000 Sb
0.0000 0.5000 0.5000 Te
0.5000 0.0000 0.5000 Te
0.0000 0.0000 0.5000 P
0.5000 0.5000 0.0000 Ru
```

Summary:
- Volume: 129 Å³/cell
- Uncorrected energy: -3.87 eV per atom
- Energy above the lowest structure with this stoichiometry: 1.82 eV per formula unit
- SG: P4/mmm

---

Entry from the Alexandria database: an optimized crystal structure of Cd3Ni4 (PBE).

```
Cd3Ni4
1.0
5.3861 0.0000 0.0000
-2.6930 4.6645 0.0000
0.0000 0.0000 4.5178
Cd Ni
3 4
Direct
0.0000 0.5000 0.0000 Cd
0.5000 0.0000 0.0000 Cd
0.5000 0.5000 0.0000 Cd
0.0000 0.0000 0.2535 Ni
0.0000 0.0000 0.7465 Ni
0.3333 0.6667 0.5000 Ni
0.6667 0.3333 0.5000 Ni
```

Summary:
- Calculated formation energy: 504 meV per atom
- Volume: 114 Å³/cell
- Uncorrected energy: -3.19 eV per atom
- Energy above the lowest structure with this stoichiometry: 2.88 eV per formula unit
- SG: P6/mmm

---

Entry from the Alexandria database: an optimized crystal structure of NaTlSb (PBE).

```
NaTlSb
1.0
-2.0633 2.0633 5.1112
2.0633 -2.0633 5.1112
2.0633 2.0633 -5.1112
Na Tl Sb
1 1 1
Direct
0.0000 0.0000 0.0000 Na
0.6813 0.6813 0.0000 Tl
0.3290 0.3290 0.0000 Sb
```

Summary:
- Volume: 87 Å³/cell
- Uncorrected energy: -2.75 eV per atom
- Energy above the lowest structure with this stoichiometry: 0.19 eV per formula unit
- SG: I4mm

---

Entry from the Alexandria database: an optimized crystal structure of PH2WS (PBE).

```
PH2WS
1.0
3.5925 0.0000 0.0000
0.0000 3.5925 0.0000
0.0000 0.0000 4.6951
P H W S
1 2 1 1
Direct
0.0000 0.0000 0.0000 P
0.0000 0.5000 0.5000 H
0.5000 0.0000 0.5000 H
0.5000 0.5000 0.5000 W
0.5000 0.5000 0.0000 S
```

Summary:
- Volume: 61 Å³/cell
- Uncorrected energy: -5.15 eV per atom
- SG: P4/mmm

---

Entry from the Alexandria database: an optimized crystal structure of AlCoOsBr2 (PBE).

```
AlCoOsBr2
1.0
5.1340 0.0000 0.0000
0.0000 5.1340 0.0000
0.0000 0.0000 4.5516
Al Co Os Br
1 1 1 2
Direct
0.0000 0.0000 0.0000 Al
0.5000 0.5000 0.0000 Co
0.5000 0.5000 0.5000 Os
0.0000 0.5000 0.5000 Br
0.5000 0.0000 0.5000 Br
```

Summary:
- Volume: 120 Å³/cell
- Uncorrected energy: -4.06 eV per atom
- SG: P4/mmm

---

Entry from the Alexandria database: an optimized crystal structure of SnIrPtI (PBE).

```
SnIrPtI
1.0
3.6414 -2.1732 0.0000
3.6414 2.1732 0.0000
-1.9348 0.0000 6.7916
Sn Ir Pt I
1 1 1 1
Direct
0.0000 0.0000 0.0000 Sn
0.7008 0.7008 0.1416 Ir
0.3963 0.3963 0.2870 Pt
0.9739 0.9739 0.5328 I
```

Summary:
- Volume: 107 Å³/cell
- Uncorrected energy: -4.94 eV per atom
- Energy above the lowest structure with this stoichiometry: 0.54 eV per formula unit
- SG: Cm